Cu3Te2 | GGA-PBE | relaxed

abc: 4.005 4.005 7.157
angles: 90.00 90.00 120.00
Element x y z (fractional)
1 Cu 0.000 0.000 0.000
2 Cu 0.333 0.667 0.414
3 Cu 0.667 0.333 0.586
4 Te 0.333 0.667 0.779
5 Te 0.667 0.333 0.221

Values from the calculation:
V = 99.43 Å³ per cell
formation energy from raw total energies = 0.0264 eV per atom

---

Sr4CuOs | GGA-PBE | relaxed

abc: 6.468 6.468 6.468
angles: 60.00 60.00 60.00
Element x y z (fractional)
1 Sr 0.376 0.376 0.376
2 Sr 0.376 0.376 0.872
3 Sr 0.376 0.872 0.376
4 Sr 0.872 0.376 0.376
5 Cu 0.000 0.000 0.000
6 Os 0.750 0.750 0.750

Values from the calculation:
V = 191.37 Å³ per cell
formation enthalpy at 0 K = 1.3613 eV/atom

---

YTlCd11 | GGA-PBE | relaxed

abc: 7.707 7.707 7.734
angles: 98.95 98.95 133.35
Element x y z (fractional)
1 Y 0.000 0.000 0.000
2 Tl 0.500 0.500 0.500
3 Cd 0.000 0.000 0.500
4 Cd 0.000 0.500 0.000
5 Cd 0.013 0.655 0.652
6 Cd 0.275 0.487 0.793
7 Cd 0.345 0.987 0.348
8 Cd 0.487 0.275 0.793
9 Cd 0.500 0.000 0.000
10 Cd 0.513 0.725 0.207
11 Cd 0.655 0.013 0.652
12 Cd 0.725 0.513 0.207
13 Cd 0.987 0.345 0.348

Values from the calculation:
V = 307.21 Å³ per cell
formation enthalpy at 0 K = -0.0234 eV/atom

---

MnSiSnIrS | GGA-PBE | relaxed

abc: 7.745 3.079 7.235
angles: 90.00 101.09 90.00
Element x y z (fractional)
1 Mn 0.000 0.000 0.000
2 Mn 0.500 0.500 0.000
3 Si 0.263 0.000 0.231
4 Si 0.763 0.500 0.231
5 Sn 0.401 0.500 0.595
6 Sn 0.901 0.000 0.595
7 Ir 0.068 0.500 0.351
8 Ir 0.568 0.000 0.351
9 S 0.186 0.500 0.926
10 S 0.686 0.000 0.926

Values from the calculation:
V = 169.30 Å³ per cell
formation energy from raw total energies = -0.1633 eV per atom
energy above the lowest structure with this stoichiometry = 195 meV/atom

---

LiErBi2 | GGA-PBE | relaxed

abc: 4.489 4.489 10.380
angles: 90.00 90.00 90.00
Element x y z (fractional)
1 Li 0.250 0.750 0.000
2 Li 0.750 0.250 0.000
3 Er 0.250 0.250 0.261
4 Er 0.750 0.750 0.739
5 Bi 0.250 0.250 0.828
6 Bi 0.250 0.750 0.500
7 Bi 0.750 0.250 0.500
8 Bi 0.750 0.750 0.172

Values from the calculation:
V = 209.14 Å³ per cell
formation enthalpy at 0 K = -0.5654 eV/atom
energy above the lowest structure with this stoichiometry = 0 meV/atom

---

TaVB | GGA-PBE | relaxed

abc: 3.023 3.023 8.269
angles: 90.00 90.00 90.00
Element x y z (fractional)
1 Ta 0.000 0.000 0.000
2 Ta 0.500 0.500 0.500
3 V 0.000 0.000 0.706
4 V 0.500 0.500 0.206
5 B 0.000 0.000 0.329
6 B 0.500 0.500 0.829

Values from the calculation:
V = 75.55 Å³ per cell
formation enthalpy at 0 K = 0.0293 eV/atom
energy above the lowest structure with this stoichiometry = 611 meV/atom

---

TaGeTe2I | GGA-PBE | relaxed

abc: 5.431 5.431 5.550
angles: 90.00 90.00 90.00
Element x y z (fractional)
1 Ta 0.000 0.000 0.000
2 Ge 0.500 0.500 0.500
3 Te 0.000 0.500 0.000
4 Te 0.500 0.000 0.000
5 I 0.000 0.000 0.500

Values from the calculation:
V = 163.68 Å³ per cell
formation energy from raw total energies = 0.5087 eV per atom
energy above the lowest structure with this stoichiometry = 0 meV/atom

---

SbRu2Pb | GGA-PBE | relaxed

abc: 3.627 3.627 5.882
angles: 90.00 90.00 90.00
Element x y z (fractional)
1 Sb 0.000 0.000 0.000
2 Ru 0.000 0.000 0.540
3 Ru 0.500 0.500 0.854
4 Pb 0.500 0.500 0.359

Values from the calculation:
V = 77.40 Å³ per cell
formation energy from raw total energies = 0.4155 eV per atom

---

KCa2Al | GGA-PBE | relaxed

abc: 5.466 5.466 9.364
angles: 90.00 90.00 90.00
Element x y z (fractional)
1 K 0.000 0.000 0.000
2 K 0.500 0.500 0.500
3 Ca 0.000 0.000 0.500
4 Ca 0.000 0.500 0.250
5 Ca 0.500 0.000 0.750
6 Ca 0.500 0.500 0.000
7 Al 0.000 0.500 0.750
8 Al 0.500 0.000 0.250

Values from the calculation:
V = 279.79 Å³ per cell
formation enthalpy at 0 K = 0.2280 eV/atom

---

NaHfIn3 | GGA-PBE | relaxed

abc: 5.625 5.625 5.625
angles: 90.00 90.00 90.00
Element x y z (fractional)
1 Na 0.000 0.000 0.000
2 Hf 0.500 0.500 0.500
3 In 0.000 0.500 0.500
4 In 0.500 0.000 0.500
5 In 0.500 0.500 0.000

Values from the calculation:
V = 177.99 Å³ per cell
formation enthalpy at 0 K = 0.3846 eV/atom
energy above the lowest structure with this stoichiometry = 0 meV/atom

---

NpTcSn | GGA-PBE | relaxed

abc: 3.262 3.262 11.581
angles: 90.00 90.00 90.00
Element x y z (fractional)
1 Np 0.000 0.000 0.000
2 Np 0.500 0.500 0.500
3 Tc 0.000 0.000 0.353
4 Tc 0.500 0.500 0.853
5 Sn 0.000 0.000 0.710
6 Sn 0.500 0.500 0.210

Values from the calculation:
V = 123.20 Å³ per cell
formation enthalpy at 0 K = 0.0721 eV/atom
energy above the lowest structure with this stoichiometry = 0 meV/atom

---

BaTiIrO6 | GGA-PBE | relaxed

abc: 5.259 5.259 5.810
angles: 90.00 90.00 120.00
Element x y z (fractional)
1 Ba 0.000 0.000 0.000
2 Ti 0.333 0.667 0.500
3 Ir 0.667 0.333 0.500
4 O 0.387 0.004 0.689
5 O 0.387 0.383 0.311
6 O 0.617 0.004 0.311
7 O 0.617 0.613 0.689
8 O 0.996 0.383 0.689
9 O 0.996 0.613 0.311

Values from the calculation:
V = 139.15 Å³ per cell
formation energy from raw total energies = -1.9693 eV per atom

---

Q: What is the V in the seventh record?
A: 163.68 Å³ per cell

---

Q: Which formula does entry 5 have?
A: LiErBi2

---

Q: Number 12 is which compound?
A: BaTiIrO6